## KZnCdAs2 (PBE-GGA)

Data for a geometry-optimized KZnCdAs2 structure.

Summary:
- total magnetization (μB/atom) = 0.00
- V (Å³ per cell) = 252
- calculated total energy (eV for the cell shown) = -27.7

a = 4.3198 Å, b = 4.3198 Å, c = 13.5112 Å
α = 90.00°, β = 90.00°, γ = 90.00°
Closest atoms and distances in Å follow each position.
Space group I-4m2 (No. 119)
Symmetry-distinct sites (fractional):
K (0.0000, 0.0000, 0.0000)  8 As 3.53
Zn (0.0000, 0.5000, 0.2500)  4 As 2.69
Cd (0.0000, 0.5000, 0.7500)  4 As 2.69
As (0.0000, 0.0000, 0.3691)  2 Cd 2.69, 2 Zn 2.69